(1)
Crystalline AsPt2Rh at its relaxed geometry, computed with PBE.

Output
The value obtained for the formation energy is 0.037 eV/atom. For the total moment, the calculation gives 0.01 μB/atom. Its space group is P4/mmm, No. 123.

Unit cell a=2.933 b=2.933 c=7.295 alpha=90.00 beta=90.00 gamma=90.00
Atoms (fractional coordinates):
1 As 0.000 0.000 0.000
2 Pt 0.500 0.500 0.245
3 Pt 0.500 0.500 0.755
4 Rh 0.000 0.000 0.500

(2)
Crystalline NiOsSe4 at its relaxed geometry, computed with PBE.

Output
For the total moment, the calculation gives 0.61 μB/atom. Its space group is F-43m, No. 216. For the energy relative to the elements, uncorrected, the calculation gives 1.54 eV per atom.

Unit cell a=5.485 b=5.485 c=5.485 alpha=60.00 beta=60.00 gamma=60.00
Atoms (fractional coordinates):
1 Ni 0.000 0.000 0.000
2 Os 0.750 0.750 0.750
3 Se 0.375 0.375 0.375
4 Se 0.375 0.375 0.874
5 Se 0.375 0.874 0.375
6 Se 0.874 0.375 0.375

(3)
Crystalline CsCaUF6 at its relaxed geometry, computed with PBE.

Output
For the total moment, the calculation gives 0.33 μB/atom. Its space group is Imma, No. 74. For the energy relative to the elements, uncorrected, the calculation gives -3.39 eV per atom.

Unit cell a=8.249 b=8.249 c=8.249 alpha=124.28 beta=118.62 gamma=87.58
Atoms (fractional coordinates):
1 Cs 0.377 0.127 0.250
2 Cs 0.623 0.873 0.750
3 Ca 0.000 0.500 0.500
4 Ca 0.500 0.500 0.000
5 U 0.000 0.000 0.500
6 U 0.000 0.500 0.000
7 F 0.086 0.419 0.243
8 F 0.086 0.843 0.668
9 F 0.115 0.865 0.250
10 F 0.308 0.558 0.750
11 F 0.325 0.157 0.743
12 F 0.325 0.581 0.168
13 F 0.675 0.419 0.832
14 F 0.675 0.843 0.257
15 F 0.692 0.442 0.250
16 F 0.885 0.135 0.750
17 F 0.914 0.157 0.332
18 F 0.914 0.581 0.757

(4)
Crystalline KAlZn2Se4 at its relaxed geometry, computed with PBE.

Output
For the total moment, the calculation gives 0.00 μB/atom. Its space group is I222, No. 23. For the energy relative to the elements, uncorrected, the calculation gives -0.78 eV per atom.

Unit cell a=6.485 b=7.643 c=8.907 alpha=90.00 beta=90.00 gamma=90.00
Atoms (fractional coordinates):
1 K 0.000 0.000 0.000
2 K 0.500 0.500 0.500
3 Al 0.000 0.000 0.500
4 Al 0.500 0.500 0.000
5 Zn 0.000 0.500 0.179
6 Zn 0.000 0.500 0.821
7 Zn 0.500 0.000 0.321
8 Zn 0.500 0.000 0.679
9 Se 0.215 0.185 0.346
10 Se 0.215 0.815 0.654
11 Se 0.285 0.315 0.846
12 Se 0.285 0.685 0.154
13 Se 0.715 0.315 0.154
14 Se 0.715 0.685 0.846
15 Se 0.785 0.185 0.654
16 Se 0.785 0.815 0.346

(5)
Crystalline Ca2PRu at its relaxed geometry, computed with PBE.

Output
The value obtained for the formation energy is -0.161 eV/atom. For the total moment, the calculation gives 0.11 μB/atom. Its space group is Pmmm, No. 47.

Unit cell a=3.498 b=3.828 c=5.967 alpha=90.00 beta=90.00 gamma=90.00
Atoms (fractional coordinates):
1 Ca 0.000 0.000 0.243
2 Ca 0.000 0.000 0.757
3 P 0.500 0.500 0.000
4 Ru 0.500 0.500 0.500

(6)
Crystalline ZnHgI4 at its relaxed geometry, computed with PBE.

Output
For the total moment, the calculation gives 0.00 μB/atom. Its space group is P-1, No. 2. For the energy relative to the elements, uncorrected, the calculation gives -0.35 eV per atom.

Unit cell a=4.314 b=8.202 c=8.221 alpha=115.66 beta=93.62 gamma=98.08
Atoms (fractional coordinates):
1 Zn 0.000 0.000 0.000
2 Hg 0.500 0.500 0.000
3 I 0.032 0.234 0.762
4 I 0.461 0.228 0.232
5 I 0.539 0.772 0.768
6 I 0.968 0.766 0.238

(7)
Crystalline ScTaSb2Te at its relaxed geometry, computed with PBE.

Output
For the total moment, the calculation gives 0.09 μB/atom. Its space group is P4/mmm, No. 123. For the energy relative to the elements, uncorrected, the calculation gives 0.38 eV per atom.

Unit cell a=5.354 b=5.354 c=5.408 alpha=90.00 beta=90.00 gamma=90.00
Atoms (fractional coordinates):
1 Sc 0.000 0.000 0.000
2 Ta 0.500 0.500 0.500
3 Sb 0.000 0.500 0.500
4 Sb 0.500 0.000 0.500
5 Te 0.500 0.500 0.000

(8)
Crystalline V2HWAu at its relaxed geometry, computed with PBE.

Output
For the total moment, the calculation gives 0.00 μB/atom. Its space group is P4/mmm, No. 123. The total energy comes out at -7.51 eV per atom.

Unit cell a=3.996 b=3.996 c=3.883 alpha=90.00 beta=90.00 gamma=90.00
Atoms (fractional coordinates):
1 V 0.000 0.500 0.000
2 V 0.500 0.000 0.000
3 H 0.000 0.000 0.000
4 W 0.000 0.000 0.500
5 Au 0.500 0.500 0.500

(9)
Crystalline LiCaAlCd at its relaxed geometry, computed with PBE.

Output
The value obtained for the formation energy is -0.220 eV/atom. For the total moment, the calculation gives 0.00 μB/atom. Its space group is F-43m, No. 216.

Unit cell a=6.973 b=6.973 c=6.973 alpha=90.00 beta=90.00 gamma=90.00
Atoms (fractional coordinates):
1 Li 0.000 0.000 0.000
2 Li 0.000 0.500 0.500
3 Li 0.500 0.000 0.500
4 Li 0.500 0.500 0.000
5 Ca 0.250 0.250 0.250
6 Ca 0.250 0.750 0.750
7 Ca 0.750 0.250 0.750
8 Ca 0.750 0.750 0.250
9 Al 0.250 0.250 0.750
10 Al 0.250 0.750 0.250
11 Al 0.750 0.250 0.250
12 Al 0.750 0.750 0.750
13 Cd 0.000 0.000 0.500
14 Cd 0.000 0.500 0.000
15 Cd 0.500 0.000 0.000
16 Cd 0.500 0.500 0.500

(10)
Crystalline MgNbBi2 at its relaxed geometry, computed with PBE.

Output
The value obtained for the formation energy is 0.519 eV/atom. For the total moment, the calculation gives 0.25 μB/atom. Its space group is I-42d, No. 122.

Unit cell a=6.721 b=6.721 c=12.918 alpha=90.00 beta=90.00 gamma=90.00
Atoms (fractional coordinates):
1 Mg 0.000 0.000 0.000
2 Mg 0.000 0.500 0.250
3 Mg 0.500 0.000 0.750
4 Mg 0.500 0.500 0.500
5 Nb 0.000 0.000 0.500
6 Nb 0.000 0.500 0.750
7 Nb 0.500 0.000 0.250
8 Nb 0.500 0.500 0.000
9 Bi 0.230 0.250 0.625
10 Bi 0.250 0.730 0.875
11 Bi 0.250 0.770 0.375
12 Bi 0.270 0.250 0.125
13 Bi 0.730 0.750 0.125
14 Bi 0.750 0.230 0.375
15 Bi 0.750 0.270 0.875
16 Bi 0.770 0.750 0.625

(11)
Crystalline Pm3Pr2Sm6Ho at its relaxed geometry, computed with PBE.

Output
The value obtained for the formation energy is 0.014 eV/atom. For the total moment, the calculation gives 0.00 μB/atom. Its space group is C2/m, No. 12.

Unit cell a=6.303 b=6.303 c=12.081 alpha=95.00 beta=95.00 gamma=119.98
Atoms (fractional coordinates):
1 Pm 0.000 0.000 0.000
2 Pm 0.334 0.666 0.000
3 Pm 0.666 0.334 0.000
4 Pr 0.167 0.833 0.500
5 Pr 0.833 0.167 0.500
6 Sm 0.085 0.417 0.250
7 Sm 0.251 0.251 0.750
8 Sm 0.417 0.085 0.250
9 Sm 0.583 0.915 0.750
10 Sm 0.749 0.749 0.250
11 Sm 0.915 0.583 0.750
12 Ho 0.500 0.500 0.500

(12)
Crystalline YCoCuGe2 at its relaxed geometry, computed with PBE.

Output
The value obtained for the formation energy is -0.509 eV/atom. For the total moment, the calculation gives 0.10 μB/atom. Its space group is I-4m2, No. 119.

Unit cell a=4.060 b=4.060 c=10.071 alpha=90.00 beta=90.00 gamma=90.00
Atoms (fractional coordinates):
1 Y 0.000 0.000 0.000
2 Y 0.500 0.500 0.500
3 Co 0.000 0.500 0.250
4 Co 0.500 0.000 0.750
5 Cu 0.000 0.500 0.750
6 Cu 0.500 0.000 0.250
7 Ge 0.000 0.000 0.375
8 Ge 0.000 0.000 0.625
9 Ge 0.500 0.500 0.125
10 Ge 0.500 0.500 0.875